No. 1
! BaCa2Sc, optimized geometry, DFT GGA-PBE; values from VASP
! **Space-group type**: F-43m
! **Total moment**: 0.00 μB/f.u.
! **Relative energy among the computed polymorphs**: 0.068 eV per atom
&SYSTEM
  ibrav = 0, nat = 4, ntyp = 3
/
ATOMIC_SPECIES
Ca 40.08 Ca.upf
Ba 137.33 Ba.upf
Sc 44.96 Sc.upf
ATOMIC_POSITIONS angstrom
Ca 0.000 0.000 0.000
Ca 3.046 1.758 1.243
Ba 6.091 3.517 2.487
Sc 9.137 5.275 3.730
CELL_PARAMETERS angstrom
6.091 0.000 0.000
3.046 5.275 0.000
3.046 1.758 4.974

=====

No. 2
! AlZn2InCo, optimized geometry, DFT GGA-PBE; values from VASP
! **Total DFT energy (no corrections)**: -2.62 eV/atom
! **Space-group type**: P4/mmm
! **Total moment**: 1.21 μB/f.u.
&SYSTEM
  ibrav = 0, nat = 5, ntyp = 4
/
ATOMIC_SPECIES
Zn 65.41 Zn.upf
Co 58.93 Co.upf
In 114.82 In.upf
Al 26.98 Al.upf
ATOMIC_POSITIONS angstrom
Zn 0.526 1.870 1.383
Zn -0.224 1.452 -1.879
Co -2.197 0.270 0.471
In -1.895 3.593 -0.025
Al 0.000 0.000 0.000
CELL_PARAMETERS angstrom
-0.448 2.904 -3.757
-4.395 0.540 0.942
1.053 3.741 2.766

=====

No. 3
! Zr5Os3, optimized geometry, DFT GGA-PBE; values from VASP
! **Space-group type**: C2/m
! **Total moment**: 0.00 μB/f.u.
! **Relative energy among the computed polymorphs**: 0.037 eV per atom
&SYSTEM
  ibrav = 0, nat = 16, ntyp = 2
/
ATOMIC_SPECIES
Zr 91.22 Zr.upf
Os 190.23 Os.upf
ATOMIC_POSITIONS angstrom
Zr 1.257 3.754 3.644
Zr 2.317 6.523 5.035
Zr 3.087 0.986 1.981
Zr 5.904 2.170 0.641
Zr 2.317 0.986 5.035
Zr 3.087 6.523 1.981
Zr 5.904 5.339 0.641
Zr -0.500 2.170 6.375
Zr -0.500 5.339 6.375
Zr 4.148 3.754 3.372
Os 4.379 7.505 -0.241
Os -0.216 1.405 3.671
Os 5.621 6.103 3.345
Os 2.419 3.754 1.180
Os 4.378 0.003 -0.241
Os 2.986 3.754 5.836
CELL_PARAMETERS angstrom
5.837 0.000 -0.326
2.918 7.508 -0.163
-3.353 0.000 7.498

=====

No. 4
! Rb4Th3Te8Pd, optimized geometry, DFT GGA-PBE; values from VASP
! **Space-group type**: C2/m
! **Total moment**: 0.00 μB/f.u.
! **Uncorrected formation energy**: -1.04 eV per atom
&SYSTEM
  ibrav = 0, nat = 16, ntyp = 4
/
ATOMIC_SPECIES
Te 127.60 Te.upf
Th 232.04 Th.upf
Rb 85.47 Rb.upf
Pd 106.42 Pd.upf
ATOMIC_POSITIONS angstrom
Te 0.000 0.457 3.614
Te -2.357 2.455 6.683
Te 2.357 2.455 6.683
Te 4.535 0.557 3.613
Te 2.179 2.951 0.400
Te 0.000 4.849 3.471
Te 6.892 2.951 0.400
Te 4.535 4.949 3.469
Th 4.535 5.021 0.264
Th 2.268 2.703 3.542
Th -2.268 2.703 3.542
Rb 4.535 0.000 0.000
Rb 0.000 0.000 0.000
Rb -2.268 -2.318 3.278
Rb 2.268 -2.318 3.278
Pd 0.000 5.021 0.264
CELL_PARAMETERS angstrom
9.071 0.000 0.000
0.000 10.043 0.527
-4.535 -4.637 6.556

=====

No. 5
! V2CoHIr, optimized geometry, DFT GGA-PBE; values from VASP
! **Space-group type**: P4/mmm
! **Total moment**: 0.00 μB/f.u.
! **Relative energy among the computed polymorphs**: 0.000 eV per atom
&SYSTEM
  ibrav = 0, nat = 5, ntyp = 4
/
ATOMIC_SPECIES
V 50.94 V.upf
H 1.01 H.upf
Ir 192.22 Ir.upf
Co 58.93 Co.upf
ATOMIC_POSITIONS angstrom
V -0.656 -1.599 0.803
V 1.630 -0.887 -0.434
H 0.000 0.000 0.000
Ir 1.680 -1.972 1.969
Co 0.707 0.514 1.600
CELL_PARAMETERS angstrom
-1.312 -3.197 1.607
3.259 -1.774 -0.869
1.413 1.028 3.200

=====

No. 6
! SmTmAl4, optimized geometry, DFT GGA-PBE; values from VASP
! **Total DFT energy (no corrections)**: -4.53 eV/atom
! **Space-group type**: F-43m
! **Total moment**: 0.00 μB/f.u.
&SYSTEM
  ibrav = 0, nat = 6, ntyp = 3
/
ATOMIC_SPECIES
Al 26.98 Al.upf
Tm 168.93 Tm.upf
Sm 150.36 Sm.upf
ATOMIC_POSITIONS angstrom
Al 5.579 1.609 2.848
Al 6.975 4.027 2.848
Al 5.579 3.221 0.568
Al 4.183 4.027 2.848
Tm 0.000 0.000 0.000
Sm 2.790 1.611 1.139
CELL_PARAMETERS angstrom
5.579 0.000 0.000
2.790 4.832 0.000
2.790 1.611 4.555

=====

No. 7
! ScIr3, optimized geometry, DFT GGA-PBE; values from VASP
! **Total DFT energy (no corrections)**: -8.75 eV/atom
! **Space-group type**: Imm2
! **Total moment**: 0.00 μB/f.u.
&SYSTEM
  ibrav = 0, nat = 4, ntyp = 2
/
ATOMIC_SPECIES
Ir 192.22 Ir.upf
Sc 44.96 Sc.upf
ATOMIC_POSITIONS angstrom
Ir 0.011 -0.017 1.654
Ir -1.206 -2.356 2.434
Ir 2.646 0.064 2.434
Sc 1.488 -2.368 1.636
CELL_PARAMETERS angstrom
5.276 -0.001 0.000
2.288 4.754 0.000
-3.050 -3.542 2.447

=====

No. 8
! EuHoPuTl, optimized geometry, DFT GGA-PBE; values from VASP
! **Total DFT energy (no corrections)**: -7.84 eV/atom
! **Space-group type**: F-43m
! **Total moment**: 14.15 μB/f.u.
&SYSTEM
  ibrav = 0, nat = 4, ntyp = 4
/
ATOMIC_SPECIES
Tl 204.38 Tl.upf
Ho 164.93 Ho.upf
Pu 244.00 Pu.upf
Eu 151.96 Eu.upf
ATOMIC_POSITIONS angstrom
Tl 0.000 0.000 0.000
Ho 0.972 -6.069 8.034
Pu 0.648 -4.046 5.356
Eu 0.324 -2.023 2.678
CELL_PARAMETERS angstrom
-2.668 -2.369 4.194
1.433 -5.046 1.676
2.531 -0.677 4.843

=====

No. 9
! Y2NiAg, optimized geometry, DFT GGA-PBE; values from VASP
! **Total DFT energy (no corrections)**: -5.52 eV/atom
! **Space-group type**: P4mm
! **Total moment**: 0.00 μB/f.u.
&SYSTEM
  ibrav = 0, nat = 4, ntyp = 3
/
ATOMIC_SPECIES
Y 88.91 Y.upf
Ni 58.69 Ni.upf
Ag 107.87 Ag.upf
ATOMIC_POSITIONS angstrom
Y 0.000 0.000 5.597
Y 1.988 1.989 1.831
Ni 1.988 1.989 5.064
Ag 0.000 0.000 2.725
CELL_PARAMETERS angstrom
3.976 0.000 0.000
0.000 3.977 0.000
0.000 0.000 6.087

=====

No. 10
! CsZrN2O, optimized geometry, DFT GGA-PBE; values from VASP
! **Space-group type**: P4/mmm
! **Total moment**: 3.00 μB/f.u.
! **Uncorrected formation energy**: -0.45 eV per atom
&SYSTEM
  ibrav = 0, nat = 5, ntyp = 4
/
ATOMIC_SPECIES
N 14.01 N.upf
O 16.00 O.upf
Cs 132.91 Cs.upf
Zr 91.22 Zr.upf
ATOMIC_POSITIONS angstrom
N 0.000 2.206 0.000
N 2.206 0.000 0.000
O 0.000 0.000 2.130
Cs 2.206 2.206 2.130
Zr 0.000 0.000 0.000
CELL_PARAMETERS angstrom
4.413 0.000 0.000
0.000 4.413 0.000
0.000 0.000 4.259

=====

No. 11
! Cd2HgOs, optimized geometry, DFT GGA-PBE; values from VASP
! **Total DFT energy (no corrections)**: -2.73 eV/atom
! **Space-group type**: I-4m2
! **Total moment**: 0.59 μB/f.u.
&SYSTEM
  ibrav = 0, nat = 4, ntyp = 3
/
ATOMIC_SPECIES
Os 190.23 Os.upf
Cd 112.41 Cd.upf
Hg 200.59 Hg.upf
ATOMIC_POSITIONS angstrom
Os -2.296 -1.506 1.304
Cd -0.167 -0.454 3.001
Cd 0.000 0.000 0.000
Hg -0.493 -3.467 2.769
CELL_PARAMETERS angstrom
-2.621 -4.519 1.072
1.635 -2.415 4.465
-1.477 4.974 -1.232

=====

No. 12
! Pm2Al3PdPt4, optimized geometry, DFT GGA-PBE; values from VASP
! **Total DFT energy (no corrections)**: -6.05 eV/atom
! **Space-group type**: P-4m2
! **Total moment**: 0.00 μB/f.u.
&SYSTEM
  ibrav = 0, nat = 10, ntyp = 4
/
ATOMIC_SPECIES
Pt 195.08 Pt.upf
Pm 145.00 Pm.upf
Al 26.98 Al.upf
Pd 106.42 Pd.upf
ATOMIC_POSITIONS angstrom
Pt -0.603 -3.352 2.787
Pt 1.171 -3.026 6.989
Pt 0.000 0.000 0.000
Pt -2.674 0.153 1.117
Pm -0.120 -0.425 3.541
Pm 0.688 -5.953 6.235
Al -1.306 -1.936 0.909
Al 1.621 -3.266 4.330
Al 1.874 -4.442 8.868
Pd -1.053 -3.113 5.446
CELL_PARAMETERS angstrom
-1.913 2.518 2.616
-3.436 -2.213 -0.382
3.242 -6.531 8.660

=====

No. 13
! PrEuEr2, optimized geometry, DFT GGA-PBE; values from VASP
! **Space-group type**: Fm-3m
! **Total moment**: 7.01 μB/f.u.
! **Relative energy among the computed polymorphs**: 0.071 eV per atom
&SYSTEM
  ibrav = 0, nat = 4, ntyp = 3
/
ATOMIC_SPECIES
Pr 140.91 Pr.upf
Er 167.26 Er.upf
Eu 151.96 Eu.upf
ATOMIC_POSITIONS angstrom
Pr 5.776 3.335 2.358
Er 2.888 1.667 1.179
Er 8.663 5.002 3.537
Eu 0.000 0.000 0.000
CELL_PARAMETERS angstrom
5.776 0.000 0.000
2.888 5.002 0.000
2.888 1.667 4.716

=====

No. 14
! Ta2InMoH, optimized geometry, DFT GGA-PBE; values from VASP
! **Total DFT energy (no corrections)**: -8.05 eV/atom
! **Space-group type**: P4/mmm
! **Total moment**: 0.00 μB/f.u.
&SYSTEM
  ibrav = 0, nat = 5, ntyp = 4
/
ATOMIC_SPECIES
Ta 180.95 Ta.upf
In 114.82 In.upf
Mo 95.94 Mo.upf
H 1.01 H.upf
ATOMIC_POSITIONS angstrom
Ta -0.110 -1.391 -1.576
Ta -0.724 1.507 -1.279
In -2.791 -0.355 -2.303
Mo -1.957 -0.471 0.553
H 0.000 0.000 0.000
CELL_PARAMETERS angstrom
-1.448 3.014 -2.559
-0.220 -2.782 -3.152
-3.914 -0.942 1.105

=====

No. 15
! Hf2MnFe5B2, optimized geometry, DFT GGA-PBE; values from VASP
! **Total DFT energy (no corrections)**: -8.86 eV/atom
! **Space-group type**: P4/mbm
! **Total moment**: 1.25 μB/f.u.
&SYSTEM
  ibrav = 0, nat = 20, ntyp = 4
/
ATOMIC_SPECIES
B 10.81 B.upf
Hf 178.49 Hf.upf
Fe 55.84 Fe.upf
Mn 54.94 Mn.upf
ATOMIC_POSITIONS angstrom
B -3.434 -0.492 4.293
B -6.170 -4.370 5.589
B -4.432 -6.883 1.733
B -1.696 -3.005 0.438
Hf -2.120 -1.183 2.115
Hf -5.034 -1.991 5.519
Hf -2.832 -5.383 0.508
Hf -5.746 -6.192 3.912
Fe -3.604 0.905 2.733
Fe -3.769 -2.800 0.697
Fe -2.562 -3.575 -1.389
Fe -6.330 -3.557 3.660
Fe -4.898 -6.934 -0.312
Fe -5.344 -5.014 1.455
Fe -2.083 -1.220 -0.595
Fe -8.016 -5.138 4.952
Fe -4.755 -1.344 2.902
Fe -5.201 0.577 4.669
Mn 0.000 0.000 0.000
Mn -3.933 -3.687 3.013
CELL_PARAMETERS angstrom
-2.233 1.017 -1.670
-2.891 -8.167 -1.109
-4.975 0.792 7.136

=====

No. 16
! Na3Pm2AlS6, optimized geometry, DFT GGA-PBE; values from VASP
! **Space-group type**: C2/m
! **Total moment**: 0.00 μB/f.u.
! **Uncorrected formation energy**: -1.54 eV per atom
&SYSTEM
  ibrav = 0, nat = 12, ntyp = 4
/
ATOMIC_SPECIES
S 32.06 S.upf
Na 22.99 Na.upf
Pm 145.00 Pm.upf
Al 26.98 Al.upf
ATOMIC_POSITIONS angstrom
S -1.603 -6.041 1.870
S 0.492 -4.683 -1.710
S 1.831 -1.597 0.758
S -0.264 -2.955 4.338
S -1.724 -1.833 0.381
S 1.953 -5.805 2.247
Na 4.052 -3.558 1.731
Na -3.823 -4.080 0.897
Na 0.114 -3.819 1.314
Pm -1.568 -2.850 -2.241
Pm 2.360 -2.589 -1.824
Al 0.000 0.000 0.000
CELL_PARAMETERS angstrom
-5.486 -3.110 -2.656
6.277 -2.329 -1.409
-0.563 -2.199 6.693

=====

No. 17
! TeIrO2F, optimized geometry, DFT GGA-PBE; values from VASP
! **Space-group type**: P4/mmm
! **Total moment**: 0.00 μB/f.u.
! **Uncorrected formation energy**: -0.09 eV per atom
&SYSTEM
  ibrav = 0, nat = 5, ntyp = 4
/
ATOMIC_SPECIES
Te 127.60 Te.upf
O 16.00 O.upf
F 19.00 F.upf
Ir 192.22 Ir.upf
ATOMIC_POSITIONS angstrom
Te 1.990 1.990 2.200
O 0.000 1.990 0.000
O 1.990 0.000 0.000
F 0.000 0.000 2.200
Ir 0.000 0.000 0.000
CELL_PARAMETERS angstrom
3.979 0.000 0.000
0.000 3.979 0.000
0.000 0.000 4.400

=====

No. 18
! Nd4Hg, optimized geometry, DFT GGA-PBE; values from VASP
! **Space-group type**: I4/mmm
! **Total moment**: 0.00 μB/f.u.
! **Relative energy among the computed polymorphs**: 0.000 eV per atom
&SYSTEM
  ibrav = 0, nat = 5, ntyp = 2
/
ATOMIC_SPECIES
Nd 144.24 Nd.upf
Hg 200.59 Hg.upf
ATOMIC_POSITIONS angstrom
Nd 0.671 0.687 4.444
Nd 2.103 2.152 1.400
Nd 1.422 1.455 9.416
Nd 2.854 2.920 6.373
Hg 0.000 0.000 0.000
CELL_PARAMETERS angstrom
3.699 0.000 -0.559
-0.084 3.698 -0.559
-0.090 -0.092 11.934

=====

No. 19
! Th2TiPd, optimized geometry, DFT GGA-PBE; values from VASP
! **Space-group type**: P4/mmm
! **Total moment**: 1.57 μB/f.u.
! **Relative energy among the computed polymorphs**: 0.000 eV per atom
&SYSTEM
  ibrav = 0, nat = 4, ntyp = 3
/
ATOMIC_SPECIES
Ti 47.87 Ti.upf
Th 232.04 Th.upf
Pd 106.42 Pd.upf
ATOMIC_POSITIONS angstrom
Ti -1.932 -1.662 3.653
Th 0.617 -0.711 5.365
Th 0.198 -0.228 1.718
Pd -2.339 -1.192 0.111
CELL_PARAMETERS angstrom
-3.499 1.124 0.551
-1.179 -3.509 -0.329
0.815 -0.939 7.083

=====

No. 20
! Pm5Os2Rh, optimized geometry, DFT GGA-PBE; values from VASP
! **Total DFT energy (no corrections)**: -6.95 eV/atom
! **Space-group type**: I4/mcm
! **Total moment**: 0.00 μB/f.u.
&SYSTEM
  ibrav = 0, nat = 16, ntyp = 3
/
ATOMIC_SPECIES
Pm 145.00 Pm.upf
Os 190.23 Os.upf
Rh 102.91 Rh.upf
ATOMIC_POSITIONS angstrom
Pm 0.949 5.492 -1.156
Pm 2.662 4.576 2.475
Pm 1.202 0.272 5.713
Pm 4.412 1.233 3.628
Pm -0.548 3.615 4.559
Pm 2.665 3.343 -3.238
Pm 5.909 3.110 -2.087
Pm 0.000 0.000 0.000
Pm 2.699 2.149 -0.002
Pm 4.159 6.453 -3.240
Os 1.279 5.907 -4.102
Os 5.117 4.123 -4.857
Os 4.051 0.780 -2.374
Os 0.214 2.564 -1.619
Rh 1.348 1.691 2.855
Rh 4.013 5.034 -0.383
CELL_PARAMETERS angstrom
6.859 0.000 -3.238
-1.528 6.687 -3.238
0.030 0.038 8.948